(1)
Crystalline SiOsSe2 at its relaxed geometry. Source: Alexandria via LeMat-Bulk, functional PBE-GGA.

The structure in extended XYZ format:
```
4
Lattice="-1.489 2.213 5.689 1.489 -2.213 5.689 1.489 2.213 -5.689" Properties=species:S:1:pos:R:3 pbc="T T T"
Si 0.000 0.000 0.000
Os 1.489 0.000 2.074
Se 0.000 0.000 4.135
Se 0.000 2.213 1.659
```

Output
**E_form (uncorrected)**: 1.7 eV per formula unit
**Density**: 8.33 Mg/m³
**DOS(E_F)**: 0.62 states/eV/atom



(2)
Crystalline La2Tb5Sm at its relaxed geometry. Source: Alexandria via LeMat-Bulk, functional PBE-GGA.

The structure in extended XYZ format:
```
16
Lattice="7.222 0.000 0.000 0.000 14.447 0.000 0.000 0.000 5.135" Properties=species:S:1:pos:R:3 pbc="T T T"
La 1.793 1.811 0.000
La 1.819 9.035 0.000
La 5.404 5.412 0.000
La 5.430 12.636 0.000
Tb 0.000 0.000 2.567
Tb 0.017 10.842 2.567
Tb 1.791 5.416 0.000
Tb 1.820 12.640 0.000
Tb 3.595 3.618 2.567
Tb 3.611 7.224 2.567
Tb 3.628 10.829 2.567
Tb 5.402 1.807 0.000
Tb 5.431 9.031 0.000
Tb 7.206 3.605 2.567
Sm 0.000 7.224 2.567
Sm 3.611 0.000 2.567
```

Output
**Polymorph energy (0 for the lowest one)**: 0 meV per atom
**Density**: 7.58 Mg/m³
**DOS(E_F)**: 1.59 states/eV/atom
**Calculated formation energy**: 25 meV/atom



(3)
Crystalline TeHI at its relaxed geometry. Source: Alexandria via LeMat-Bulk, functional PBE-GGA.

The structure in extended XYZ format:
```
6
Lattice="3.177 0.000 0.000 0.251 6.262 0.000 1.549 0.039 10.705" Properties=species:S:1:pos:R:3 pbc="T T T"
Te 0.836 1.585 5.201
Te 4.140 4.716 5.503
H 0.969 4.707 3.701
H 4.007 1.594 7.004
I 0.980 4.675 1.499
I 3.996 1.627 9.206
```

Output
**Polymorph energy (0 for the lowest one)**: 49 meV per atom
**Density**: 3.98 Mg/m³
**DOS(E_F)**: 0.43 states/eV/atom



(4)
Crystalline PrTl2Pd2 at its relaxed geometry. Source: Alexandria via LeMat-Bulk, functional PBE-GGA.

The structure in extended XYZ format:
```
10
Lattice="5.476 0.000 0.000 0.000 4.824 0.000 -2.378 0.000 9.015" Properties=species:S:1:pos:R:3 pbc="T T T"
Pr 0.353 1.206 2.423
Pr 2.746 3.618 6.592
Tl -0.316 1.206 5.666
Tl 1.889 3.618 0.422
Tl 1.209 1.206 8.592
Tl 3.414 3.618 3.349
Pd -1.577 1.206 8.202
Pd 0.711 3.618 4.311
Pd 2.388 1.206 4.704
Pd 4.675 3.618 0.812
```

Output
**Density**: 10.63 Mg/m³
**DOS(E_F)**: 0.49 states/eV/atom
**Calculated formation energy**: -437 meV/atom